Record 1
# TiHg2Pd

TiHg2Pd at its PBEsol-relaxed geometry (meta-GGA SCAN, the Alexandria database).

Cell and atoms, written as CIF:
```
data_TiHg2Pd
_cell_length_a 4.601
_cell_length_b 4.601
_cell_length_c 4.601
_cell_angle_alpha 60.00
_cell_angle_beta 60.00
_cell_angle_gamma 60.00
_space_group_name_H-M_alt 'P 1'
_space_group_IT_number 1
loop_
_space_group_symop_operation_xyz
'x,y,z'
loop_
_atom_site_label
_atom_site_type_symbol
_atom_site_fract_x
_atom_site_fract_y
_atom_site_fract_z
_atom_site_occupancy
Ti1 Ti 0.000 0.000 0.000 1
Hg1 Hg 0.250 0.250 0.250 1
Hg2 Hg 0.750 0.750 0.750 1
Pd1 Pd 0.500 0.500 0.500 1
```

Results
Formation energy from the elements   -201 meV/atom
Uncorrected energy   -46.485 eV/atom
Calculated volume   17.21 Å³/atom
Spin magnetization   0.00 μB per atom

***

Record 2
# Tl2Hg2Pd

Tl2Hg2Pd at its PBEsol-relaxed geometry (meta-GGA SCAN, the Alexandria database).

Cell and atoms, written as CIF:
```
data_Tl2Hg2Pd
_cell_length_a 8.823
_cell_length_b 8.823
_cell_length_c 8.823
_cell_angle_alpha 154.83
_cell_angle_beta 154.83
_cell_angle_gamma 35.90
_space_group_name_H-M_alt 'P 1'
_space_group_IT_number 1
loop_
_space_group_symop_operation_xyz
'x,y,z'
loop_
_atom_site_label
_atom_site_type_symbol
_atom_site_fract_x
_atom_site_fract_y
_atom_site_fract_z
_atom_site_occupancy
Tl1 Tl 0.087 0.087 0.000 1
Tl2 Tl 0.913 0.913 0.000 1
Hg1 Hg 0.250 0.750 0.500 1
Hg2 Hg 0.750 0.250 0.500 1
Pd1 Pd 0.500 0.500 0.000 1
```

Results
Formation energy from the elements   186 meV/atom
Uncorrected energy   -62.578 eV/atom
Calculated volume   24.82 Å³/atom
Spin magnetization   0.00 μB per atom

***

Record 3
# Y2HgPd2

Y2HgPd2 at its PBEsol-relaxed geometry (meta-GGA SCAN, the Alexandria database).

Cell and atoms, written as CIF:
```
data_Y2HgPd2
_cell_length_a 8.030
_cell_length_b 8.030
_cell_length_c 8.030
_cell_angle_alpha 152.24
_cell_angle_beta 152.24
_cell_angle_gamma 39.67
_space_group_name_H-M_alt 'P 1'
_space_group_IT_number 1
loop_
_space_group_symop_operation_xyz
'x,y,z'
loop_
_atom_site_label
_atom_site_type_symbol
_atom_site_fract_x
_atom_site_fract_y
_atom_site_fract_z
_atom_site_occupancy
Y1 Y 0.115 0.115 0.000 1
Y2 Y 0.885 0.885 0.000 1
Hg1 Hg 0.500 0.500 0.000 1
Pd1 Pd 0.250 0.750 0.500 1
Pd2 Pd 0.750 0.250 0.500 1
```

Results
Formation energy from the elements   -705 meV/atom
Uncorrected energy   -38.585 eV/atom
Calculated volume   22.43 Å³/atom
Spin magnetization   0.00 μB per atom

***

Record 4
# Zn3HgPd

Zn3HgPd at its PBEsol-relaxed geometry (meta-GGA SCAN, the Alexandria database).

Cell and atoms, written as CIF:
```
data_Zn3HgPd
_cell_length_a 4.801
_cell_length_b 4.801
_cell_length_c 4.801
_cell_angle_alpha 90.00
_cell_angle_beta 90.00
_cell_angle_gamma 90.00
_space_group_name_H-M_alt 'P 1'
_space_group_IT_number 1
loop_
_space_group_symop_operation_xyz
'x,y,z'
loop_
_atom_site_label
_atom_site_type_symbol
_atom_site_fract_x
_atom_site_fract_y
_atom_site_fract_z
_atom_site_occupancy
Zn1 Zn 0.000 0.000 0.500 1
Zn2 Zn 0.000 0.500 0.000 1
Zn3 Zn 0.500 0.000 0.000 1
Hg1 Hg 0.000 0.000 0.000 1
Pd1 Pd 0.500 0.500 0.500 1
```

Results
Formation energy from the elements   665 meV/atom
Uncorrected energy   -27.633 eV/atom
Calculated volume   22.13 Å³/atom
Spin magnetization   0.00 μB per atom

***

Q: Which value of spin magnetization does entry 3 give?
A: 0.00 μB per atom

***

Q: Among the records above, which one has the highest calculated volume?
A: Tl2Hg2Pd

***

Q: What is the calculated volume in the fourth record?
A: 22.13 Å³/atom

***

Copy entry 1 word for word.
# TiHg2Pd

TiHg2Pd at its PBEsol-relaxed geometry (meta-GGA SCAN, the Alexandria database).

Cell and atoms, written as CIF:
```
data_TiHg2Pd
_cell_length_a 4.601
_cell_length_b 4.601
_cell_length_c 4.601
_cell_angle_alpha 60.00
_cell_angle_beta 60.00
_cell_angle_gamma 60.00
_space_group_name_H-M_alt 'P 1'
_space_group_IT_number 1
loop_
_space_group_symop_operation_xyz
'x,y,z'
loop_
_atom_site_label
_atom_site_type_symbol
_atom_site_fract_x
_atom_site_fract_y
_atom_site_fract_z
_atom_site_occupancy
Ti1 Ti 0.000 0.000 0.000 1
Hg1 Hg 0.250 0.250 0.250 1
Hg2 Hg 0.750 0.750 0.750 1
Pd1 Pd 0.500 0.500 0.500 1
```

Results
Formation energy from the elements   -201 meV/atom
Uncorrected energy   -46.485 eV/atom
Calculated volume   17.21 Å³/atom
Spin magnetization   0.00 μB per atom